Density functional theory data (PBE) for a relaxed Cr2ReNiIr crystal.

Calculated values
Total magnetization, μB/atom: 0.00
Formation energy, eV/atom: 1.423
Calculated total energy, eV/atom: -7.844

Unit cell a=4.137 b=4.405 c=4.137 alpha=90.00 beta=90.00 gamma=90.00
Positions (direct):
Re: 0.000 0.500 0.000
Ir: 0.500 0.500 0.500
Cr: 0.000 0.000 0.500
Cr: 0.500 0.000 0.000
Ni: 0.000 0.000 0.000



Density functional theory data (PBE) for a relaxed CrNiIrRh crystal.

Calculated values
Total magnetization, μB/atom: 0.10
Formation energy, eV/atom: 0.059
Calculated total energy, eV/atom: -7.845

Unit cell a=4.203 b=4.203 c=4.203 alpha=60.00 beta=60.00 gamma=60.00
Each line ends with the local moment (μB).
Positions (direct):
Ni: 0.000 0.000 0.000  -0.65
Ir: 0.250 0.250 0.250  -0.36
Rh: 0.750 0.750 0.750  -0.15
Cr: 0.500 0.500 0.500  1.50